Entry 1:
Here is a relaxed Li2HoTl crystal from Alexandria. Energies are from GGA-PBEsol.

abc: 4.7542 4.7542 4.7542
angles: 60.00 60.00 60.00
With the nearest neighbours (Å) after each atom.
Positions (direct):
Tl1 0.0000 0.0000 0.0000  8 Li 2.91
Ho1 0.5000 0.5000 0.5000  8 Li 2.91
Li1 0.2500 0.2500 0.2500  4 Tl 2.91, 4 Ho 2.91
Li2 0.7500 0.7500 0.7500  4 Ho 2.91, 4 Tl 2.91

## Properties
DFT formation energy   -0.261 eV per atom

Entry 2:
Here is a relaxed LiHoTl2 crystal from Alexandria. Energies are from GGA-PBEsol.

abc: 5.0775 5.0775 5.0775
angles: 60.00 60.00 60.00
With the nearest neighbours (Å) after each atom.
Positions (direct):
Tl1 0.2500 0.2500 0.2500  4 Li 3.11, 4 Ho 3.11
Tl2 0.7500 0.7500 0.7500  4 Ho 3.11, 4 Li 3.11
Ho1 0.5000 0.5000 0.5000  8 Tl 3.11
Li1 0.0000 0.0000 0.0000  8 Tl 3.11

## Properties
DFT formation energy   -0.378 eV per atom

Entry 3:
Here is a relaxed HoLu3 crystal from Alexandria. Energies are from GGA-PBEsol.

abc: 5.3911 6.9442 6.9442
angles: 120.00 90.00 90.00
With the nearest neighbours (Å) after each atom.
Positions (direct):
Lu1 0.2500 0.6676 0.8338  8 Lu 3.36-3.48, 4 Ho 3.36-3.47
Lu2 0.2500 0.1662 0.3324  8 Lu 3.36-3.48, 4 Ho 3.36-3.47
Lu3 0.2500 0.1662 0.8338  8 Lu 3.36-3.48, 4 Ho 3.36-3.47
Lu4 0.7500 0.3324 0.1662  8 Lu 3.36-3.48, 4 Ho 3.36-3.47
Lu5 0.7500 0.8338 0.6676  8 Lu 3.36-3.48, 4 Ho 3.36-3.47
Lu6 0.7500 0.8338 0.1662  8 Lu 3.36-3.48, 4 Ho 3.36-3.47
Ho1 0.7500 0.3333 0.6667  12 Lu 3.36-3.47
Ho2 0.2500 0.6667 0.3333  12 Lu 3.36-3.47

## Properties
DFT formation energy   0.002 eV per atom

Entry 4:
Here is a relaxed Ho3Lu crystal from Alexandria. Energies are from GGA-PBEsol.

abc: 5.4533 7.0101 7.0101
angles: 120.00 90.00 90.00
With the nearest neighbours (Å) after each atom.
Positions (direct):
Lu1 0.2500 0.6667 0.3333  12 Ho 3.39-3.51
Lu2 0.7500 0.3333 0.6667  12 Ho 3.39-3.51
Ho1 0.2500 0.6659 0.8330  4 Lu 3.39-3.51, 8 Ho 3.40-3.51
Ho2 0.7500 0.8330 0.1670  4 Lu 3.39-3.51, 8 Ho 3.40-3.51
Ho3 0.7500 0.8330 0.6659  4 Lu 3.39-3.51, 8 Ho 3.40-3.51
Ho4 0.7500 0.3341 0.1670  4 Lu 3.39-3.51, 8 Ho 3.40-3.51
Ho5 0.2500 0.1670 0.8330  4 Lu 3.39-3.51, 8 Ho 3.40-3.51
Ho6 0.2500 0.1670 0.3341  4 Lu 3.39-3.51, 8 Ho 3.40-3.51

## Properties
DFT formation energy   0.006 eV per atom

Entry 5:
Here is a relaxed HoLuO3 crystal from Alexandria. Energies are from GGA-PBEsol.

abc: 5.5052 5.7847 8.1370
angles: 90.00 90.00 90.00
With the nearest neighbours (Å) after each atom.
Positions (direct):
Ho1 0.0216 0.9423 0.7500  4 O 2.20-2.32
Ho2 0.4784 0.4423 0.7500  4 O 2.20-2.32
Ho3 0.5216 0.5577 0.2500  4 O 2.20-2.32
Ho4 0.9784 0.0577 0.2500  4 O 2.20-2.32
Lu1 0.0000 0.5000 0.0000  6 O 2.14-2.23
Lu2 0.0000 0.5000 0.5000  6 O 2.14-2.23
Lu3 0.5000 0.0000 0.0000  6 O 2.14-2.23
Lu4 0.5000 0.0000 0.5000  6 O 2.14-2.23
O1 0.1469 0.4259 0.2500  2 Ho 2.20-2.32, 2 Lu 2.23
O2 0.1869 0.1905 0.5782  2 Lu 2.14-2.16, 1 Ho 2.20
O3 0.1869 0.1905 0.9218  2 Lu 2.14-2.16, 1 Ho 2.20
O4 0.3131 0.6905 0.9218  2 Lu 2.14-2.16, 1 Ho 2.20
O5 0.3131 0.6905 0.5782  2 Lu 2.14-2.16, 1 Ho 2.20
O6 0.3531 0.9259 0.2500  2 Ho 2.20-2.32, 2 Lu 2.23
O7 0.6469 0.0741 0.7500  2 Ho 2.20-2.32, 2 Lu 2.23
O8 0.6869 0.3095 0.0782  2 Lu 2.14-2.16, 1 Ho 2.20
O9 0.6869 0.3095 0.4218  2 Lu 2.14-2.16, 1 Ho 2.20
O10 0.8131 0.8095 0.0782  2 Lu 2.14-2.16, 1 Ho 2.20
O11 0.8131 0.8095 0.4218  2 Lu 2.14-2.16, 1 Ho 2.20
O12 0.8531 0.5741 0.7500  2 Ho 2.20-2.32, 2 Lu 2.23

## Properties
Uncorrected formation energy   -3.64 eV/atom

Entry 6:
Here is a relaxed HoLuPd2 crystal from Alexandria. Energies are from GGA-PBEsol.

abc: 4.8180 4.8180 4.8180
angles: 60.00 60.00 60.00
With the nearest neighbours (Å) after each atom.
Positions (direct):
Lu1 0.0000 0.0000 0.0000  8 Pd 2.95
Ho1 0.5000 0.5000 0.5000  8 Pd 2.95
Pd1 0.2500 0.2500 0.2500  4 Ho 2.95, 4 Lu 2.95
Pd2 0.7500 0.7500 0.7500  4 Ho 2.95, 4 Lu 2.95

## Properties
DFT formation energy   -0.925 eV per atom

Entry 7:
Here is a relaxed HoLuRh2 crystal from Alexandria. Energies are from GGA-PBEsol.

abc: 4.7027 4.7027 4.7027
angles: 60.00 60.00 60.00
With the nearest neighbours (Å) after each atom.
Positions (direct):
Lu1 0.0000 0.0000 0.0000  8 Rh 2.88
Rh1 0.2500 0.2500 0.2500  4 Ho 2.88, 4 Lu 2.88
Rh2 0.7500 0.7500 0.7500  4 Ho 2.88, 4 Lu 2.88
Ho1 0.5000 0.5000 0.5000  8 Rh 2.88

## Properties
DFT formation energy   -0.926 eV per atom

Entry 8:
Here is a relaxed HoLuZn2 crystal from Alexandria. Energies are from GGA-PBEsol.

abc: 4.8941 4.8941 4.8941
angles: 60.00 60.00 60.00
With the nearest neighbours (Å) after each atom.
Positions (direct):
Zn1 0.7500 0.7500 0.7500  4 Lu 3.00, 4 Ho 3.00
Zn2 0.2500 0.2500 0.2500  4 Ho 3.00, 4 Lu 3.00
Lu1 0.5000 0.5000 0.5000  8 Zn 3.00
Ho1 0.0000 0.0000 0.0000  8 Zn 3.00

## Properties
DFT formation energy   -0.352 eV per atom